# 1
Computed, not measured: an optimized crystal structure of Pa4Tc4Sn at the PBE level of DFT.

Uncorrected energy ... -9.1897 eV/atom
Density of states at the Fermi level ... 0.828 states/eV/atom

abc: 7.4399 7.4399 7.4753
angles: 90.00 90.00 90.00
Space group P4_2/nmc (No. 137, origin choice 2)
Unique sites:
1 Pa 0.0122 0.2500 0.0875 [8 per cell]
2 Tc 0.0132 0.2500 0.4732 [8 per cell]
3 Sn 0.2500 0.7500 0.2500 [2 per cell]

---

# 2
Computed, not measured: an optimized crystal structure of Nd13Hg2 at the PBE level of DFT.

Uncorrected energy ... -4.2631 eV/atom
Density of states at the Fermi level ... 1.363 states/eV/atom

abc: 6.5853 8.7029 9.6399
angles: 68.66 78.31 82.13
Space group P-1 (No. 2)
Unique sites:
1 Nd 0.0000 0.0000 0.0000 [1 per cell]
2 Nd 0.0536 0.4197 0.7055 [2 per cell]
3 Nd 0.2081 0.1799 0.2318 [2 per cell]
4 Nd 0.2510 0.5958 0.9473 [2 per cell]
5 Nd 0.2873 0.9874 0.6483 [2 per cell]
6 Nd 0.4596 0.3713 0.4150 [2 per cell]
7 Nd 0.4767 0.7943 0.1529 [2 per cell]
8 Hg 0.1263 0.7901 0.4510 [2 per cell]

---

# 3
Computed, not measured: an optimized crystal structure of B5C7 at the PBE level of DFT.

Uncorrected energy ... -7.7236 eV/atom
Density of states at the Fermi level ... 0.230 states/eV/atom

abc: 4.6751 7.9269 4.6046
angles: 90.00 111.27 90.00
Space group Cm (No. 8)
Unique sites:
1 B 0.0000 0.0000 0.0000 [2 per cell]
2 B 0.0864 0.5000 0.5350 [2 per cell]
3 B 0.3996 0.1750 0.6456 [4 per cell]
4 B 0.4107 0.0000 0.0873 [2 per cell]
5 C 0.0403 0.1623 0.4934 [4 per cell]
6 C 0.0435 0.3234 0.0224 [4 per cell]
7 C 0.4030 0.3285 0.1411 [4 per cell]
8 C 0.4398 0.5000 0.6163 [2 per cell]

---

# 4
Computed, not measured: an optimized crystal structure of K2NaCeBr8 at the PBE level of DFT.

Energy relative to the elements, uncorrected ... -1.451 eV per atom

abc: 6.8772 7.4755 9.0580
angles: 89.93 89.90 89.66
Space group P-1 (No. 2)
Unique sites:
1 K 0.0009 0.9998 0.2491 [2 per cell]
2 Na 0.5000 0.5000 0.5000 [1 per cell]
3 Ce 0.5000 0.5000 0.0000 [1 per cell]
4 Br 0.2579 0.3788 0.2300 [2 per cell]
5 Br 0.2586 0.3778 0.7710 [2 per cell]
6 Br 0.2936 0.8230 0.9992 [2 per cell]
7 Br 0.3361 0.8816 0.5003 [2 per cell]

---

# 5
Computed, not measured: an optimized crystal structure of BeZnRe at the PBE level of DFT.

Uncorrected energy ... -5.4917 eV/atom
Density of states at the Fermi level ... 0.600 states/eV/atom

abc: 2.7829 2.7829 20.6369
angles: 90.00 90.00 90.00
Space group I4/mmm (No. 139)
Unique sites:
1 Be 0.0000 0.0000 0.1273 [4 per cell]
2 Zn 0.0000 0.0000 0.2959 [4 per cell]
3 Re 0.0000 0.0000 0.4437 [4 per cell]

---

# 6
Computed, not measured: an optimized crystal structure of Sr3PuBr8 at the PBE level of DFT.

Energy relative to the elements, uncorrected ... -1.913 eV per atom
Density of states at the Fermi level ... 1.535 states/eV/atom

abc: 8.3712 13.7885 8.8808
angles: 90.00 90.00 90.00
Space group C222 (No. 21)
Unique sites:
1 Sr 0.0000 0.0000 0.0000 [2 per cell]
2 Sr 0.2500 0.2500 0.7488 [4 per cell]
3 Pu 0.0000 0.0000 0.5000 [2 per cell]
4 Br 0.0000 0.2197 0.5000 [4 per cell]
5 Br 0.0000 0.2227 0.0000 [4 per cell]
6 Br 0.2459 0.0265 0.7457 [8 per cell]

---

# 7
Computed, not measured: an optimized crystal structure of ZrCuTc3 at the PBE level of DFT.

Uncorrected energy ... -6.6228 eV/atom
Density of states at the Fermi level ... 1.160 states/eV/atom

abc: 4.7571 4.7571 4.7571
angles: 90.00 90.00 90.00
Space group Pm-3m (No. 221)
Unique sites:
1 Zr 0.0000 0.0000 0.0000 [1 per cell]
2 Cu 0.5000 0.5000 0.5000 [1 per cell]
3 Tc 0.0000 0.0000 0.5000 [3 per cell]

---

# 8
Computed, not measured: an optimized crystal structure of Na2CaI2 at the PBE level of DFT.

Energy relative to the elements, uncorrected ... -0.628 eV per atom
Density of states at the Fermi level ... 0.000 states/eV/atom

abc: 5.5466 5.5466 15.1923
angles: 90.00 90.00 90.00
Space group I4/mmm (No. 139)
Unique sites:
1 Na 0.0000 0.5000 0.2500 [4 per cell]
2 Ca 0.0000 0.0000 0.0000 [2 per cell]
3 I 0.0000 0.0000 0.3444 [4 per cell]

---

# 9
Computed, not measured: an optimized crystal structure of NdEr2HgC at the PBE level of DFT.

Uncorrected energy ... -5.0541 eV/atom
Density of states at the Fermi level ... 0.769 states/eV/atom

abc: 6.7974 6.7974 10.3383
angles: 90.00 90.00 90.00
Space group I4/mcm (No. 140)
Unique sites:
1 Nd 0.0000 0.0000 0.2500 [4 per cell]
2 Er 0.1941 0.3059 0.0000 [8 per cell]
3 Hg 0.0000 0.5000 0.2500 [4 per cell]
4 C 0.0000 0.0000 0.0000 [4 per cell]

---

# 10
Computed, not measured: an optimized crystal structure of ZrSc2In at the PBE level of DFT.

Uncorrected energy ... -6.1661 eV/atom
Density of states at the Fermi level ... 1.139 states/eV/atom

abc: 3.5331 5.0730 10.3333
angles: 90.00 90.00 90.00
Space group Immm (No. 71)
Unique sites:
1 Zr 0.0000 0.0000 0.0000 [2 per cell]
2 Sc 0.0000 0.5000 0.2377 [4 per cell]
3 In 0.0000 0.0000 0.5000 [2 per cell]

---

# 11
Computed, not measured: an optimized crystal structure of RbAcPu2O8 at the PBE level of DFT.

Energy relative to the elements, uncorrected ... -2.250 eV per atom
Density of states at the Fermi level ... 1.512 states/eV/atom

abc: 8.0739 8.0739 7.6637
angles: 90.00 90.00 90.00
Space group I-4m2 (No. 119)
Unique sites:
1 Rb 0.0000 0.0000 0.0000 [2 per cell]
2 Ac 0.0000 0.5000 0.7500 [2 per cell]
3 Pu 0.0000 0.0000 0.5000 [2 per cell]
4 Pu 0.0000 0.5000 0.2500 [2 per cell]
5 O 0.0000 0.1898 0.6643 [8 per cell]
6 O 0.0000 0.3435 0.0567 [8 per cell]

---

# 12
Computed, not measured: an optimized crystal structure of TbPm2Ni at the PBE level of DFT.

Uncorrected energy ... -5.0970 eV/atom
Density of states at the Fermi level ... 1.186 states/eV/atom

abc: 6.3632 6.5325 10.8095
angles: 88.44 87.40 86.73
Space group P-1 (No. 2)
Unique sites:
1 Tb 0.0232 0.3513 0.2746 [2 per cell]
2 Tb 0.4499 0.7143 0.2636 [2 per cell]
3 Pm 0.0562 0.1525 0.6190 [2 per cell]
4 Pm 0.0811 0.2411 0.9412 [2 per cell]
5 Pm 0.4251 0.7722 0.9146 [2 per cell]
6 Pm 0.4967 0.7660 0.5864 [2 per cell]
7 Ni 0.1941 0.5248 0.4875 [2 per cell]
8 Ni 0.2153 0.0131 0.1469 [2 per cell]

---

Which formula does entry 2 have? Nd13Hg2